Material: Li4CdGa3
Method: DFT, PBE
State: optimized geometry

The calculation puts the total energy at -20.167 eV per formula unit. For the volume, the calculation gives 122.41 Å³ per cell.

It has space group P-4m2 (No. 115), with a = 4.408 Å, b = 4.408 Å, c = 6.301 Å, α = 90.00°, β = 90.00° and γ = 90.00°. The inequivalent atoms are Li at (0.000, 0.000, 0.000), Li at (0.000, 0.500, 0.741), Li at (0.500, 0.500, 0.500), Cd at (0.500, 0.500, 0.000), Ga at (0.000, 0.000, 0.500) and Ga at (0.000, 0.500, 0.259).